Material: CaAc2Ga
Method: DFT, GGA-PBE
State: relaxed

## Properties
Mass density ... 6.3 Mg/m³
Polymorph energy (0 for the lowest one) ... 0 meV per atom
Crystal system ... orthorhombic
ΔH_f (0 K) ... -0.211 eV per atom
N(E_F) ... 1.185 states/eV/atom
M_tot ... 0.00 μB/cell

a b c (Å): 7.065 8.294 10.151
angles (deg): 90.00 90.00 90.00
Element x y z (fractional)
Ac 0.159 0.680 0.440
Ac 0.841 0.320 0.560
Ac 0.159 0.680 0.060
Ac 0.659 0.820 0.940
Ac 0.659 0.820 0.560
Ac 0.341 0.180 0.440
Ac 0.341 0.180 0.060
Ac 0.841 0.320 0.940
Ca 0.630 0.534 0.250
Ca 0.370 0.466 0.750
Ca 0.870 0.034 0.250
Ca 0.130 0.966 0.750
Ga 0.464 0.878 0.250
Ga 0.964 0.622 0.750
Ga 0.536 0.122 0.750
Ga 0.036 0.378 0.250